{
  "formula": "Dy6Tm2MgSc3",
  "functional": "PBE",
  "state": "relaxed",
  "volume_a3_per_fu": 344,
  "space_group": "C2/m (12)",
  "final_energy_ev_per_atom": -4.716,
  "e_form_ev_per_fu": 0.6,
  "lattice_angstrom": [[2.989, -5.178, 0.000], [2.989, 5.178, 0.000], [-2.001, 0.000, 11.126]],
  "species": ["Dy", "Dy", "Dy", "Dy", "Dy", "Dy", "Tm", "Tm", "Mg", "Sc", "Sc", "Sc"],
  "fractional_positions": [[0.085, 0.419, 0.757], [0.248, 0.248, 0.243], [0.419, 0.085, 0.757], [0.581, 0.915, 0.243], [0.752, 0.752, 0.757], [0.915, 0.581, 0.243], [0.333, 0.667, 0.500], [0.667, 0.333, 0.500], [0.000, 0.000, 0.500], [0.166, 0.834, 0.000], [0.500, 0.500, 0.000], [0.834, 0.166, 0.000]]
}

=====

{
  "formula": "Dy2Tm4MgSc",
  "functional": "PBE",
  "state": "relaxed",
  "volume_a3_per_fu": 231,
  "space_group": "P2/m (10)",
  "final_energy_ev_per_atom": -4.341,
  "e_form_ev_per_fu": 0.3,
  "lattice_angstrom": [[4.882, 0.000, 0.000], [0.000, 4.874, 0.000], [-0.008, 0.000, 9.719]],
  "species": ["Dy", "Dy", "Tm", "Tm", "Tm", "Tm", "Mg", "Sc"],
  "fractional_positions": [[0.000, 0.000, 0.000], [0.500, 0.500, 0.500], [0.000, 0.500, 0.246], [0.000, 0.500, 0.754], [0.499, 0.000, 0.246], [0.501, 0.000, 0.754], [0.000, 0.000, 0.500], [0.500, 0.500, 0.000]]
}

=====

{
  "formula": "DyTmMgSc",
  "functional": "PBE",
  "state": "relaxed",
  "volume_a3_per_fu": 109,
  "space_group": "P4mm (99)",
  "final_energy_ev_per_atom": -4.254,
  "e_form_ev_per_fu": 0.0,
  "relative_energy_ev_per_atom": 0.000,
  "lattice_angstrom": [[3.447, 0.000, 0.000], [0.000, 3.447, 0.000], [0.000, 0.000, 9.178]],
  "species": ["Dy", "Tm", "Mg", "Sc"],
  "fractional_positions": [[0.000, 0.000, 0.000], [0.500, 0.500, 0.728], [0.500, 0.500, 0.254], [0.000, 0.000, 0.478]]
}

=====

{
  "formula": "Dy2Tm6MgSc3",
  "functional": "PBE",
  "state": "relaxed",
  "volume_a3_per_fu": 339,
  "space_group": "C2/m (12)",
  "final_energy_ev_per_atom": -4.672,
  "e_form_ev_per_fu": 0.6,
  "lattice_angstrom": [[2.969, -5.143, 0.000], [2.969, 5.143, 0.000], [-1.992, 0.000, 11.116]],
  "species": ["Dy", "Dy", "Tm", "Tm", "Tm", "Tm", "Tm", "Tm", "Mg", "Sc", "Sc", "Sc"],
  "fractional_positions": [[0.167, 0.833, 0.000], [0.833, 0.167, 0.000], [0.081, 0.415, 0.742], [0.252, 0.252, 0.258], [0.415, 0.081, 0.742], [0.585, 0.919, 0.258], [0.748, 0.748, 0.742], [0.919, 0.585, 0.258], [0.500, 0.500, 0.000], [0.000, 0.000, 0.500], [0.334, 0.666, 0.500], [0.666, 0.334, 0.500]]
}

=====

{
  "formula": "Dy4Tm2MgSc",
  "functional": "PBE",
  "state": "relaxed",
  "volume_a3_per_fu": 234,
  "space_group": "P4/mmm (123)",
  "final_energy_ev_per_atom": -4.382,
  "e_form_ev_per_fu": 0.2,
  "lattice_angstrom": [[4.931, 0.000, 0.000], [0.000, 4.931, 0.000], [0.000, 0.000, 9.604]],
  "species": ["Dy", "Dy", "Dy", "Dy", "Tm", "Tm", "Mg", "Sc"],
  "fractional_positions": [[0.000, 0.500, 0.247], [0.000, 0.500, 0.753], [0.500, 0.000, 0.247], [0.500, 0.000, 0.753], [0.000, 0.000, 0.000], [0.500, 0.500, 0.500], [0.000, 0.000, 0.500], [0.500, 0.500, 0.000]]
}

=====

{
  "formula": "Dy4Y2MgSc",
  "functional": "PBE",
  "state": "relaxed",
  "volume_a3_per_fu": 238,
  "space_group": "P2/m (10)",
  "final_energy_ev_per_atom": -4.875,
  "e_form_ev_per_fu": 0.3,
  "lattice_angstrom": [[4.927, 0.000, 0.000], [0.000, 4.928, 0.000], [-0.008, 0.000, 9.819]],
  "species": ["Dy", "Dy", "Dy", "Dy", "Y", "Y", "Mg", "Sc"],
  "fractional_positions": [[0.000, 0.000, 0.247], [0.000, 0.000, 0.753], [0.500, 0.500, 0.247], [0.500, 0.500, 0.753], [0.000, 0.500, 0.000], [0.500, 0.000, 0.500], [0.000, 0.500, 0.500], [0.500, 0.000, 0.000]]
}

=====

{
  "formula": "Dy2Y2Mg5Sc",
  "functional": "PBE",
  "state": "relaxed",
  "volume_a3_per_fu": 274,
  "space_group": "P4/mbm (127)",
  "final_energy_ev_per_atom": -3.539,
  "e_form_ev_per_fu": 1.0,
  "lattice_angstrom": [[10.550, 0.000, 0.000], [0.000, 10.550, 0.000], [0.000, 0.000, 4.919]],
  "species": ["Dy", "Dy", "Dy", "Dy", "Y", "Y", "Y", "Y", "Mg", "Mg", "Mg", "Mg", "Mg", "Mg", "Mg", "Mg", "Mg", "Mg", "Sc", "Sc"],
  "fractional_positions": [[0.120, 0.380, 0.000], [0.380, 0.880, 0.000], [0.620, 0.120, 0.000], [0.880, 0.620, 0.000], [0.178, 0.678, 0.000], [0.322, 0.178, 0.000], [0.678, 0.822, 0.000], [0.822, 0.322, 0.000], [0.000, 0.500, 0.500], [0.067, 0.192, 0.500], [0.192, 0.933, 0.500], [0.308, 0.433, 0.500], [0.433, 0.692, 0.500], [0.500, 0.000, 0.500], [0.567, 0.308, 0.500], [0.692, 0.567, 0.500], [0.808, 0.067, 0.500], [0.933, 0.808, 0.500], [0.000, 0.000, 0.000], [0.500, 0.500, 0.000]]
}

=====

{
  "formula": "Dy2Y4MgSc",
  "functional": "PBE",
  "state": "relaxed",
  "volume_a3_per_fu": 240,
  "space_group": "P2/m (10)",
  "final_energy_ev_per_atom": -5.340,
  "e_form_ev_per_fu": 0.3,
  "lattice_angstrom": [[4.961, 0.000, 0.000], [0.000, 4.961, 0.000], [-0.010, 0.000, 9.757]],
  "species": ["Dy", "Dy", "Y", "Y", "Y", "Y", "Mg", "Sc"],
  "fractional_positions": [[0.000, 0.000, 0.000], [0.500, 0.500, 0.500], [0.000, 0.500, 0.247], [0.000, 0.500, 0.753], [0.500, 0.000, 0.247], [0.500, 0.000, 0.753], [0.000, 0.000, 0.500], [0.500, 0.500, 0.000]]
}

=====

{
  "formula": "DyMgZrSc",
  "functional": "PBE",
  "state": "relaxed",
  "volume_a3_per_fu": 102,
  "space_group": "P4mm (99)",
  "final_energy_ev_per_atom": -5.291,
  "e_form_ev_per_fu": -0.1,
  "relative_energy_ev_per_atom": 0.000,
  "lattice_angstrom": [[3.337, 0.000, 0.000], [0.000, 3.337, 0.000], [0.000, 0.000, 9.117]],
  "species": ["Dy", "Mg", "Zr", "Sc"],
  "fractional_positions": [[0.000, 0.000, 0.000], [0.500, 0.500, 0.732], [0.500, 0.500, 0.258], [0.000, 0.000, 0.490]]
}

=====

{
  "formula": "DyMgZrSc",
  "functional": "PBE",
  "state": "relaxed",
  "volume_a3_per_fu": 99,
  "space_group": "F-43m (216)",
  "final_energy_ev_per_atom": -5.146,
  "e_form_ev_per_fu": 0.5,
  "relative_energy_ev_per_atom": 0.144,
  "lattice_angstrom": [[0.000, 3.675, 3.675], [3.675, 0.000, 3.675], [3.675, 3.675, 0.000]],
  "species": ["Dy", "Mg", "Zr", "Sc"],
  "fractional_positions": [[0.000, 0.000, 0.000], [0.750, 0.750, 0.750], [0.500, 0.500, 0.500], [0.250, 0.250, 0.250]]
}

=====

{
  "formula": "DyMgSe2",
  "functional": "PBE",
  "state": "relaxed",
  "volume_a3_per_fu": 90,
  "space_group": "R-3m (166)",
  "final_energy_ev_per_atom": -4.712,
  "relative_energy_ev_per_atom": 0.018,
  "e_form_raw_mev_per_atom": -1421,
  "lattice_angstrom": [[1.947, 1.124, 6.876], [-1.947, 1.124, 6.876], [0.000, -2.248, 6.876]],
  "species": ["Dy", "Mg", "Se", "Se"],
  "fractional_positions": [[0.000, 0.000, 0.000], [0.500, 0.500, 0.500], [0.244, 0.244, 0.244], [0.756, 0.756, 0.756]]
}

=====

{
  "formula": "Dy2MgSe4",
  "functional": "PBE",
  "state": "relaxed",
  "volume_a3_per_fu": 200,
  "space_group": "Fd-3m (227)",
  "final_energy_ev_per_atom": -5.234,
  "relative_energy_ev_per_atom": 0.000,
  "e_form_raw_mev_per_atom": -1701,
  "lattice_angstrom": [[0.000, 5.845, 5.845], [5.845, 0.000, 5.845], [5.845, 5.845, 0.000]],
  "species": ["Dy", "Dy", "Dy", "Dy", "Mg", "Mg", "Se", "Se", "Se", "Se", "Se", "Se", "Se", "Se"],
  "fractional_positions": [[0.000, 0.000, 0.000], [0.000, 0.000, 0.500], [0.000, 0.500, 0.000], [0.500, 0.000, 0.000], [0.375, 0.375, 0.375], [0.625, 0.625, 0.625], [0.236, 0.755, 0.755], [0.245, 0.245, 0.245], [0.245, 0.245, 0.764], [0.245, 0.764, 0.245], [0.755, 0.236, 0.755], [0.755, 0.755, 0.236], [0.755, 0.755, 0.755], [0.764, 0.245, 0.245]]
}

=====

{
  "formula": "Dy2MgSe4",
  "functional": "PBE",
  "state": "relaxed",
  "volume_a3_per_fu": 187,
  "space_group": "Pnma (62)",
  "final_energy_ev_per_atom": -5.177,
  "relative_energy_ev_per_atom": 0.058,
  "e_form_raw_mev_per_atom": -1643,
  "lattice_angstrom": [[13.184, 0.000, 0.000], [0.000, 4.024, 0.000], [0.000, 0.000, 14.127]],
  "species": ["Dy", "Dy", "Dy", "Dy", "Dy", "Dy", "Dy", "Dy", "Mg", "Mg", "Mg", "Mg", "Se", "Se", "Se", "Se", "Se", "Se", "Se", "Se", "Se", "Se", "Se", "Se", "Se", "Se", "Se", "Se"],
  "fractional_positions": [[0.116, 0.250, 0.075], [0.140, 0.250, 0.702], [0.360, 0.750, 0.202], [0.384, 0.750, 0.575], [0.616, 0.250, 0.425], [0.640, 0.250, 0.798], [0.860, 0.750, 0.298], [0.884, 0.750, 0.925], [0.110, 0.750, 0.457], [0.390, 0.250, 0.957], [0.610, 0.750, 0.043], [0.890, 0.250, 0.543], [0.006, 0.750, 0.618], [0.029, 0.250, 0.882], [0.224, 0.250, 0.248], [0.239, 0.250, 0.514], [0.261, 0.750, 0.014], [0.276, 0.750, 0.748], [0.471, 0.750, 0.382], [0.494, 0.250, 0.118], [0.506, 0.750, 0.882], [0.529, 0.250, 0.618], [0.724, 0.250, 0.252], [0.739, 0.250, 0.986], [0.761, 0.750, 0.486], [0.776, 0.750, 0.752], [0.971, 0.750, 0.118], [0.994, 0.250, 0.382]]
}

=====

{
  "formula": "Dy2MgSe4",
  "functional": "PBE",
  "state": "relaxed",
  "volume_a3_per_fu": 200,
  "space_group": "Pnma (62)",
  "final_energy_ev_per_atom": -5.216,
  "relative_energy_ev_per_atom": 0.018,
  "e_form_raw_mev_per_atom": -1683,
  "lattice_angstrom": [[14.152, 0.000, 0.000], [0.000, 8.235, 0.000], [0.000, 0.000, 6.848]],
  "species": ["Dy", "Dy", "Dy", "Dy", "Dy", "Dy", "Dy", "Dy", "Mg", "Mg", "Mg", "Mg", "Se", "Se", "Se", "Se", "Se", "Se", "Se", "Se", "Se", "Se", "Se", "Se", "Se", "Se", "Se", "Se"],
  "fractional_positions": [[0.000, 0.000, 0.000], [0.000, 0.500, 0.000], [0.235, 0.250, 0.496], [0.265, 0.750, 0.996], [0.500, 0.000, 0.500], [0.500, 0.500, 0.500], [0.735, 0.250, 0.004], [0.765, 0.750, 0.504], [0.093, 0.750, 0.413], [0.407, 0.250, 0.913], [0.593, 0.750, 0.087], [0.907, 0.250, 0.587], [0.073, 0.250, 0.748], [0.090, 0.750, 0.784], [0.171, 0.506, 0.234], [0.171, 0.994, 0.234], [0.329, 0.006, 0.734], [0.329, 0.494, 0.734], [0.410, 0.250, 0.284], [0.427, 0.750, 0.248], [0.573, 0.250, 0.752], [0.590, 0.750, 0.716], [0.671, 0.506, 0.266], [0.671, 0.994, 0.266], [0.829, 0.006, 0.766], [0.829, 0.494, 0.766], [0.910, 0.250, 0.216], [0.927, 0.750, 0.252]]
}

=====

{
  "formula": "DyMgSe3",
  "functional": "PBE",
  "state": "relaxed",
  "volume_a3_per_fu": 141,
  "space_group": "C2/m (12)",
  "final_energy_ev_per_atom": -4.487,
  "relative_energy_ev_per_atom": 0.082,
  "e_form_raw_mev_per_atom": -1157,
  "lattice_angstrom": [[4.222, -5.948, 0.000], [4.222, 5.948, 0.000], [-3.423, 0.000, 5.615]],
  "species": ["Dy", "Dy", "Mg", "Mg", "Se", "Se", "Se", "Se", "Se", "Se"],
  "fractional_positions": [[0.227, 0.227, 0.208], [0.773, 0.773, 0.792], [0.331, 0.669, 0.000], [0.669, 0.331, 0.000], [0.118, 0.811, 0.213], [0.189, 0.882, 0.787], [0.411, 0.411, 0.702], [0.589, 0.589, 0.298], [0.811, 0.118, 0.213], [0.882, 0.189, 0.787]]
}

=====

{
  "formula": "Dy3MgSe6",
  "functional": "PBE",
  "state": "relaxed",
  "volume_a3_per_fu": 264,
  "space_group": "Cmc2_1 (36)",
  "final_energy_ev_per_atom": -5.197,
  "e_form_raw_mev_per_atom": -1566,
  "lattice_angstrom": [[5.611, -6.697, 0.000], [5.611, 6.697, 0.000], [0.000, 0.000, 7.027]],
  "species": ["Dy", "Dy", "Dy", "Dy", "Dy", "Dy", "Mg", "Mg", "Se", "Se", "Se", "Se", "Se", "Se", "Se", "Se", "Se", "Se", "Se", "Se"],
  "fractional_positions": [[0.099, 0.901, 0.500], [0.222, 0.420, 0.406], [0.420, 0.222, 0.906], [0.580, 0.778, 0.406], [0.778, 0.580, 0.906], [0.901, 0.099, 0.000], [0.297, 0.703, 0.881], [0.703, 0.297, 0.381], [0.053, 0.597, 0.681], [0.128, 0.201, 0.705], [0.201, 0.128, 0.205], [0.273, 0.727, 0.244], [0.403, 0.947, 0.681], [0.467, 0.533, 0.702], [0.533, 0.467, 0.202], [0.597, 0.053, 0.181], [0.727, 0.273, 0.744], [0.799, 0.872, 0.705], [0.872, 0.799, 0.205], [0.947, 0.403, 0.181]]
}

=====

{
  "formula": "Dy2MgSe3",
  "functional": "PBE",
  "state": "relaxed",
  "volume_a3_per_fu": 139,
  "space_group": "I4/mmm (139)",
  "final_energy_ev_per_atom": -5.098,
  "e_form_raw_mev_per_atom": -1556,
  "lattice_angstrom": [[-2.000, 2.000, 8.687], [2.000, -2.000, 8.687], [2.000, 2.000, -8.687]],
  "species": ["Dy", "Dy", "Mg", "Se", "Se", "Se"],
  "fractional_positions": [[0.176, 0.176, 0.000], [0.824, 0.824, 0.000], [0.500, 0.500, 0.000], [0.000, 0.000, 0.000], [0.344, 0.344, 0.000], [0.656, 0.656, 0.000]]
}

=====

{
  "formula": "DyMgSe",
  "functional": "PBE",
  "state": "relaxed",
  "volume_a3_per_fu": 74,
  "space_group": "C2/m (12)",
  "final_energy_ev_per_atom": -4.248,
  "e_form_raw_mev_per_atom": -1020,
  "lattice_angstrom": [[2.844, -2.844, 0.000], [2.844, 2.844, 0.000], [-0.053, 0.000, 9.178]],
  "species": ["Dy", "Dy", "Mg", "Mg", "Se", "Se"],
  "fractional_positions": [[0.247, 0.247, 0.316], [0.753, 0.753, 0.684], [0.249, 0.249, 0.942], [0.751, 0.751, 0.058], [0.253, 0.253, 0.640], [0.747, 0.747, 0.360]]
}

=====

{
  "formula": "DyMgSe3",
  "functional": "PBE",
  "state": "relaxed",
  "volume_a3_per_fu": 133,
  "space_group": "R-3 (148)",
  "final_energy_ev_per_atom": -4.569,
  "relative_energy_ev_per_atom": 0.000,
  "e_form_raw_mev_per_atom": -1239,
  "lattice_angstrom": [[3.543, 2.045, 6.136], [-3.543, 2.045, 6.136], [0.000, -4.091, 6.136]],
  "species": ["Dy", "Dy", "Mg", "Mg", "Se", "Se", "Se", "Se", "Se", "Se"],
  "fractional_positions": [[0.153, 0.153, 0.153], [0.847, 0.847, 0.847], [0.347, 0.347, 0.347], [0.653, 0.653, 0.653], [0.065, 0.441, 0.737], [0.263, 0.935, 0.559], [0.441, 0.737, 0.065], [0.559, 0.263, 0.935], [0.737, 0.065, 0.441], [0.935, 0.559, 0.263]]
}

=====

{
  "formula": "Dy5MgSe6",
  "functional": "PBE",
  "state": "relaxed",
  "volume_a3_per_fu": 282,
  "space_group": "C2/m (12)",
  "final_energy_ev_per_atom": -5.429,
  "e_form_raw_mev_per_atom": -1636,
  "lattice_angstrom": [[3.504, -6.109, 0.000], [3.504, 6.109, 0.000], [-2.343, 0.000, 6.592]],
  "species": ["Dy", "Dy", "Dy", "Dy", "Dy", "Mg", "Se", "Se", "Se", "Se", "Se", "Se"],
  "fractional_positions": [[0.000, 0.000, 0.000], [0.167, 0.833, 0.500], [0.328, 0.672, 0.000], [0.672, 0.328, 0.000], [0.833, 0.167, 0.500], [0.500, 0.500, 0.500], [0.102, 0.420, 0.259], [0.264, 0.264, 0.743], [0.420, 0.102, 0.259], [0.580, 0.898, 0.741], [0.736, 0.736, 0.257], [0.898, 0.580, 0.741]]
}

=====

{
  "formula": "Dy4MgSe5",
  "functional": "PBE",
  "state": "relaxed",
  "volume_a3_per_fu": 235,
  "space_group": "I4/m (87)",
  "final_energy_ev_per_atom": -5.356,
  "e_form_raw_mev_per_atom": -1614,
  "lattice_angstrom": [[-4.528, 4.528, 2.861], [4.528, -4.528, 2.861], [4.528, 4.528, -2.861]],
  "species": ["Dy", "Dy", "Dy", "Dy", "Mg", "Se", "Se", "Se", "Se", "Se"],
  "fractional_positions": [[0.095, 0.308, 0.402], [0.308, 0.905, 0.213], [0.692, 0.095, 0.787], [0.905, 0.692, 0.598], [0.500, 0.500, 0.000], [0.000, 0.000, 0.000], [0.217, 0.599, 0.815], [0.401, 0.217, 0.618], [0.599, 0.783, 0.382], [0.783, 0.401, 0.185]]
}